(1)
{"formula": "K5AgClO2", "functional": "PBE", "state": "optimized geometry", "lattice_angstrom": [[-3.275, 0.901, 4.199], [3.046, -3.234, 3.070], [5.231, 7.311, 2.512]], "species": ["K", "K", "K", "K", "K", "Ag", "Cl", "O", "O"], "fractional_positions": [[0.000, 0.000, 0.500], [0.000, 0.500, 0.778], [0.500, 0.000, 0.222], [0.000, 0.500, 0.222], [0.500, 0.000, 0.778], [0.000, 0.000, 0.000], [0.500, 0.500, 0.500], [0.000, 0.000, 0.225], [0.000, 0.000, 0.775]], "dft_energy_ev_per_cell": -29.47, "volume_a3_per_cell": 272}

(2)
{"formula": "NdDy3Tl2", "functional": "PBE", "state": "optimized geometry", "lattice_angstrom": [[5.145, 0.000, 0.000], [0.000, 6.842, 0.000], [0.000, 0.000, 10.078]], "species": ["Nd", "Nd", "Dy", "Dy", "Dy", "Dy", "Dy", "Dy", "Tl", "Tl", "Tl", "Tl"], "fractional_positions": [[0.500, 0.550, 0.543], [0.500, 0.050, 0.457], [0.000, 0.455, 0.956], [0.000, 0.955, 0.044], [0.500, 0.672, 0.182], [0.500, 0.172, 0.818], [0.000, 0.327, 0.308], [0.000, 0.827, 0.692], [0.500, 0.710, 0.868], [0.500, 0.210, 0.132], [0.000, 0.287, 0.638], [0.000, 0.787, 0.362]], "dft_energy_ev_per_cell": -49.84, "ef_mev_per_atom": -268.7, "volume_a3_per_cell": 355}

What did the second record say?
{"formula": "NdDy3Tl2", "functional": "PBE", "state": "optimized geometry", "lattice_angstrom": [[5.145, 0.000, 0.000], [0.000, 6.842, 0.000], [0.000, 0.000, 10.078]], "species": ["Nd", "Nd", "Dy", "Dy", "Dy", "Dy", "Dy", "Dy", "Tl", "Tl", "Tl", "Tl"], "fractional_positions": [[0.500, 0.550, 0.543], [0.500, 0.050, 0.457], [0.000, 0.455, 0.956], [0.000, 0.955, 0.044], [0.500, 0.672, 0.182], [0.500, 0.172, 0.818], [0.000, 0.327, 0.308], [0.000, 0.827, 0.692], [0.500, 0.710, 0.868], [0.500, 0.210, 0.132], [0.000, 0.287, 0.638], [0.000, 0.787, 0.362]], "dft_energy_ev_per_cell": -49.84, "ef_mev_per_atom": -268.7, "volume_a3_per_cell": 355}

Please write out number 2 again, unchanged.
{"formula": "NdDy3Tl2", "functional": "PBE", "state": "optimized geometry", "lattice_angstrom": [[5.145, 0.000, 0.000], [0.000, 6.842, 0.000], [0.000, 0.000, 10.078]], "species": ["Nd", "Nd", "Dy", "Dy", "Dy", "Dy", "Dy", "Dy", "Tl", "Tl", "Tl", "Tl"], "fractional_positions": [[0.500, 0.550, 0.543], [0.500, 0.050, 0.457], [0.000, 0.455, 0.956], [0.000, 0.955, 0.044], [0.500, 0.672, 0.182], [0.500, 0.172, 0.818], [0.000, 0.327, 0.308], [0.000, 0.827, 0.692], [0.500, 0.710, 0.868], [0.500, 0.210, 0.132], [0.000, 0.287, 0.638], [0.000, 0.787, 0.362]], "dft_energy_ev_per_cell": -49.84, "ef_mev_per_atom": -268.7, "volume_a3_per_cell": 355}